A plane-wave DFT calculation with GGA-PBE was carried out for Cu2MoOsI after structural relaxation.

For the volume, the calculation gives 101.6 Å³ per cell. As for the crystal system: tetragonal.

The space group is P4/mmm (No. 123) and the conventional cell measures 4.505, 4.505 and 5.007 Å, with angles of 90.00, 90.00 and 90.00 degrees. Symmetry generates all atoms from Cu at (0.000, 0.500, 0.000), Mo at (0.000, 0.000, 0.500), Os at (0.500, 0.500, 0.500) and I at (0.000, 0.000, 0.000).


A plane-wave DFT calculation with GGA-PBE was carried out for PbAuF2 after structural relaxation.

The relative energy among the computed polymorphs is 0.000 eV/atom. For the volume, the calculation gives 303.8 Å³ per cell. As for the crystal system: tetragonal.

The space group is I-42d (No. 122) and the conventional cell measures 4.366, 4.366 and 15.938 Å, with angles of 90.00, 90.00 and 90.00 degrees. Symmetry generates all atoms from Pb at (0.000, 0.000, 0.000), Au at (0.000, 0.000, 0.500) and F at (0.234, 0.250, 0.125).


A plane-wave DFT calculation with GGA-PBE was carried out for HgRuPb2O8 after structural relaxation.

For the volume, the calculation gives 167.8 Å³ per cell. As for the crystal system: monoclinic.

The space group is P2/m (No. 10) and the conventional cell measures 4.823, 7.012 and 4.963 Å, with angles of 90.00, 91.29 and 90.00 degrees. Symmetry generates all atoms from Hg at (0.000, 0.000, 0.000), Ru at (0.000, 0.500, 0.000), Pb at (0.500, 0.255, 0.500), O at (0.211, 0.298, 0.843), O at (0.256, 0.500, 0.313) and O at (0.289, 0.000, 0.325).


The records above yield E values of -20.3, -60.2, -64.4 eV for the cell shown, respectively.
The records above yield formation energy from raw total energies values of 2293, -1081, -644 meV/atom, respectively.